(1)
This record from Alexandria via LeMat-Bulk describes a geometry-optimized Tm4Pd15Au structure. The functional is PBE-GGA.

The structure in POSCAR format:
```
Tm4Pd15Au
1.0
4.067 0.000 0.000
0.000 4.067 0.000
0.000 0.000 20.475
Tm Pd Au
4 15 1
direct
0.000 0.000 0.100
0.000 0.000 0.302
0.000 0.000 0.698
0.000 0.000 0.900
0.000 0.500 0.000
0.000 0.500 0.202
0.000 0.500 0.403
0.000 0.500 0.597
0.000 0.500 0.798
0.500 0.000 0.000
0.500 0.000 0.202
0.500 0.000 0.403
0.500 0.000 0.597
0.500 0.000 0.798
0.500 0.500 0.101
0.500 0.500 0.302
0.500 0.500 0.500
0.500 0.500 0.698
0.500 0.500 0.899
0.000 0.000 0.500
```

## Properties
final energy: -5.69 eV/atom
volume: 338.7 Å³/cell
Fermi-level density of states: 19.07 states/eV/f.u.
SG: No. 123

---

(2)
This record from Alexandria via LeMat-Bulk describes a geometry-optimized TmPd5Au structure. The functional is PBE-GGA.

The structure in POSCAR format:
```
TmPd5Au
1.0
4.093 0.000 0.000
0.000 4.093 0.000
0.000 0.000 7.678
Tm Pd Au
1 5 1
direct
0.000 0.000 0.000
0.000 0.500 0.262
0.000 0.500 0.738
0.500 0.000 0.262
0.500 0.000 0.738
0.500 0.500 0.000
0.000 0.000 0.500
```

## Properties
final energy: -5.17 eV/atom
volume: 128.6 Å³/cell
Fermi-level density of states: 3.62 states/eV/f.u.
SG: No. 123

---

(3)
This record from Alexandria via LeMat-Bulk describes a geometry-optimized TmPd2Au5 structure. The functional is PBE-GGA.

The structure in POSCAR format:
```
TmPd2Au5
1.0
5.857 0.000 0.000
0.000 11.756 0.000
0.000 0.000 4.186
Tm Pd Au
2 4 10
direct
0.000 0.000 0.000
0.500 0.500 0.000
0.249 0.377 0.500
0.251 0.877 0.500
0.749 0.123 0.500
0.751 0.623 0.500
0.000 0.248 0.000
0.000 0.500 0.000
0.000 0.752 0.000
0.246 0.627 0.500
0.254 0.127 0.500
0.500 0.000 0.000
0.500 0.252 0.000
0.500 0.748 0.000
0.746 0.873 0.500
0.754 0.373 0.500
```

## Properties
final energy: -4.36 eV/atom
volume: 288.2 Å³/cell
Fermi-level density of states: 2.53 states/eV/f.u.
SG: No. 55

---

(4)
This record from Alexandria via LeMat-Bulk describes a geometry-optimized TmPd4Au2 structure. The functional is PBE-GGA.

The structure in POSCAR format:
```
TmPd4Au2
1.0
8.173 0.000 0.000
0.000 8.380 0.000
0.000 0.000 3.790
Tm Pd Au
2 8 4
direct
0.000 0.000 0.000
0.500 0.500 0.000
0.000 0.250 0.500
0.000 0.750 0.500
0.250 0.250 0.000
0.250 0.750 0.000
0.500 0.250 0.500
0.500 0.750 0.500
0.750 0.250 0.000
0.750 0.750 0.000
0.222 0.500 0.500
0.278 0.000 0.500
0.722 0.000 0.500
0.778 0.500 0.500
```

## Properties
final energy: -4.98 eV/atom
volume: 259.6 Å³/cell
Fermi-level density of states: 3.08 states/eV/f.u.
SG: No. 65

---

(5)
This record from Alexandria via LeMat-Bulk describes a geometry-optimized Tm2Pd8Au3 structure. The functional is PBE-GGA.

The structure in POSCAR format:
```
Tm2Pd8Au3
1.0
6.761 -3.568 0.000
6.761 3.568 0.000
-0.159 0.000 4.908
Tm Pd Au
2 8 3
direct
0.159 0.159 0.220
0.841 0.841 0.780
0.056 0.056 0.727
0.128 0.529 0.327
0.307 0.307 0.812
0.471 0.872 0.673
0.529 0.128 0.327
0.693 0.693 0.188
0.872 0.471 0.673
0.944 0.944 0.273
0.308 0.692 0.000
0.500 0.500 0.500
0.692 0.308 0.000
```

## Properties
final energy: -5.05 eV/atom
volume: 236.8 Å³/cell
Fermi-level density of states: 8.23 states/eV/f.u.
SG: No. 12

---

(6)
This record from Alexandria via LeMat-Bulk describes a geometry-optimized Tm5Pd4Au structure. The functional is PBE-GGA.

The structure in POSCAR format:
```
Tm5Pd4Au
1.0
3.473 0.000 0.000
0.000 3.473 0.000
0.000 0.000 17.500
Tm Pd Au
5 4 1
direct
0.000 0.000 0.000
0.000 0.000 0.198
0.000 0.000 0.396
0.000 0.000 0.604
0.000 0.000 0.802
0.500 0.500 0.099
0.500 0.500 0.297
0.500 0.500 0.703
0.500 0.500 0.901
0.500 0.500 0.500
```

## Properties
final energy: -5.57 eV/atom
volume: 211.1 Å³/cell
Fermi-level density of states: 7.40 states/eV/f.u.
SG: No. 123

---

(7)
This record from Alexandria via LeMat-Bulk describes a geometry-optimized TmPd2Au8 structure. The functional is PBE-GGA.

The structure in POSCAR format:
```
TmPd2Au8
1.0
7.524 -2.073 0.000
7.524 2.073 0.000
-1.684 0.000 6.362
Tm Pd Au
1 2 8
direct
0.000 0.000 0.000
0.274 0.274 0.367
0.726 0.726 0.633
0.096 0.096 0.454
0.184 0.184 0.912
0.360 0.360 0.810
0.451 0.451 0.276
0.549 0.549 0.724
0.640 0.640 0.190
0.816 0.816 0.088
0.904 0.904 0.546
```

## Properties
final energy: -4.04 eV/atom
volume: 198.5 Å³/cell
Fermi-level density of states: 3.98 states/eV/f.u.
SG: No. 12

---

(8)
This record from Alexandria via LeMat-Bulk describes a geometry-optimized TmPd2Au4 structure. The functional is PBE-GGA.

The structure in POSCAR format:
```
TmPd2Au4
1.0
5.417 0.000 0.000
0.000 9.848 0.000
-2.691 0.000 4.917
Tm Pd Au
2 4 8
direct
0.000 0.000 0.000
0.500 0.500 0.000
0.000 0.250 0.500
0.000 0.750 0.500
0.500 0.250 0.500
0.500 0.750 0.500
0.000 0.299 0.000
0.000 0.701 0.000
0.201 0.500 0.402
0.299 0.000 0.598
0.500 0.201 0.000
0.500 0.799 0.000
0.701 0.000 0.402
0.799 0.500 0.598
```

## Properties
final energy: -4.44 eV/atom
volume: 262.3 Å³/cell
Fermi-level density of states: 3.38 states/eV/f.u.
SG: No. 12

---

volume of number 1 (Tm4Pd15Au)?
338.7 Å³/cell